Entry from Alexandria: a relaxed CdAg4Pd2 crystal (PBE-GGA).

The structure in POSCAR format:
```
CdAg4Pd2
1.0
-4.4217 5.5545 -1.0871
-3.4520 -3.2027 -2.3234
-0.7012 -3.9316 6.4615
Cd Ag Pd
2 8 4
direct
0.2421 0.7500 0.2122
0.7579 0.2500 0.7878
0.6118 0.4994 0.2280
0.0364 0.7500 0.7985
0.9636 0.2500 0.2015
0.6118 0.0006 0.2280
0.9804 0.2500 0.5731
0.3882 0.9994 0.7720
0.3882 0.5006 0.7720
0.0196 0.7500 0.4269
0.7932 0.7500 0.0027
0.2068 0.2500 0.9973
0.3997 0.2500 0.4231
0.6003 0.7500 0.5769
```

=====

Entry from Alexandria: a relaxed CdAgPd2 crystal (PBE-GGA).

The structure in POSCAR format:
```
CdAgPd2
1.0
-0.2460 2.9080 0.3682
-1.7636 1.5616 -1.7617
-7.6040 0.1723 5.3091
Cd Ag Pd
1 1 2
direct
0.6668 0.6668 0.9997
0.4999 0.4999 0.5004
0.0822 0.0822 0.7535
0.2512 0.2512 0.2463
```

=====

Entry from Alexandria: a relaxed CdAg6Pd3 crystal (PBE-GGA).

The structure in POSCAR format:
```
CdAg6Pd3
1.0
4.5533 -0.0030 0.0000
0.0098 8.2767 0.0000
0.0000 0.0000 9.8853
Cd Ag Pd
2 12 6
direct
0.5000 0.5000 0.5000
0.0000 0.0000 0.0000
0.4999 0.0680 0.7912
0.4999 0.4607 0.8419
0.4998 0.7544 0.6800
0.5002 0.2456 0.3200
0.5001 0.5393 0.1581
0.5001 0.9320 0.2088
0.9999 0.5680 0.7088
0.9999 0.9607 0.6581
0.9998 0.2544 0.8200
0.0002 0.7456 0.1800
0.0001 0.0393 0.3419
0.0001 0.4320 0.2912
0.4991 0.2208 0.0379
0.5000 0.0000 0.5000
0.5009 0.7792 0.9621
0.9991 0.7208 0.4621
0.0000 0.5000 0.0000
0.0009 0.2792 0.5379
```

=====

Entry from Alexandria: a relaxed Cd6AgPd3 crystal (PBE-GGA).

The structure in POSCAR format:
```
Cd6AgPd3
1.0
4.7810 0.0000 0.0000
0.0000 7.6208 -2.5518
0.0000 0.0710 10.1994
Cd Ag Pd
12 2 6
direct
0.2500 0.4663 0.0836
0.7500 0.5337 0.9164
0.2500 0.1609 0.1856
0.7500 0.8391 0.8144
0.2500 0.6463 0.6803
0.7500 0.3537 0.3197
0.2500 0.2683 0.4992
0.7500 0.7317 0.5008
0.2500 0.8377 0.2807
0.7500 0.1623 0.7193
0.2500 0.0720 0.8845
0.7500 0.9280 0.1155
0.2500 0.9564 0.5816
0.7500 0.0436 0.4184
0.2500 0.5491 0.3818
0.7500 0.4509 0.6182
0.2500 0.3646 0.7900
0.7500 0.6354 0.2100
0.2500 0.7662 0.9763
0.7500 0.2338 0.0237
```

=====

Entry from Alexandria: a relaxed Cd2Ag12Pd5 crystal (PBE-GGA).

The structure in POSCAR format:
```
Cd2Ag12Pd5
1.0
-4.2012 3.7228 -0.2243
-0.1297 -4.7752 -6.4741
-4.8362 -5.1035 5.8775
Cd Ag Pd
2 12 5
direct
0.7554 0.0000 0.0000
0.2446 0.0000 0.0000
0.1466 0.2932 0.3565
0.0425 0.5869 0.8735
0.5443 0.5869 0.8735
0.1096 0.7093 0.3685
0.5997 0.7093 0.3685
0.4781 0.9562 0.6452
0.5219 0.0438 0.3548
0.8904 0.2907 0.6315
0.4003 0.2907 0.6315
0.9575 0.4131 0.1265
0.4557 0.4131 0.1265
0.8534 0.7068 0.6435
0.2964 0.5927 0.6031
0.3736 0.7472 0.1175
0.0000 0.0000 0.5000
0.6264 0.2528 0.8825
0.7036 0.4073 0.3969
```

=====

Entry from Alexandria: a relaxed CdAgPd4 crystal (PBE-GGA).

The structure in POSCAR format:
```
CdAgPd4
1.0
-0.0683 -0.9429 -3.9500
1.3957 -3.6972 0.8584
-5.5810 -1.5157 2.5465
Cd Ag Pd
1 1 4
direct
0.5000 0.5000 0.0000
0.0000 0.0000 0.0000
0.3306 0.0000 0.6613
0.6694 0.0000 0.3387
0.8305 0.5000 0.6610
0.1695 0.5000 0.3390
```

=====

Entry from Alexandria: a relaxed CdAg4Pd3 crystal (PBE-GGA).

The structure in POSCAR format:
```
CdAg4Pd3
1.0
3.8064 0.0000 -1.3427
-0.4131 3.9350 -1.1710
0.8998 0.5046 8.6176
Pd Ag Cd
3 4 1
direct
0.0000 0.5000 0.0000
0.8757 0.8759 0.7515
0.1243 0.1241 0.2485
0.7496 0.2497 0.4992
0.2504 0.7503 0.5008
0.3746 0.3746 0.7492
0.6254 0.6254 0.2508
0.5000 0.0000 0.0000
```

=====

Entry from Alexandria: a relaxed Cd8Ag5Pd crystal (PBE-GGA).

The structure in POSCAR format:
```
Cd8Ag5Pd
1.0
-4.2352 -4.7230 -3.5145
5.7714 1.9512 -3.9342
1.8835 -3.4755 6.0802
Cd Ag Pd
8 5 1
direct
0.1066 0.7632 0.0012
0.9988 0.1055 0.7620
0.8279 0.2275 0.3990
0.6010 0.4289 0.8285
0.3996 0.5711 0.1721
0.6566 0.8945 0.8934
0.2380 0.2368 0.3434
0.1715 0.7725 0.6004
0.9406 0.4110 0.1217
0.8783 0.8189 0.2893
0.7107 0.5890 0.5296
0.5000 0.0000 0.5000
0.4704 0.1811 0.0594
0.2500 0.5000 0.7500
```

=====

Entry from Alexandria: a relaxed Cd8Ag3Pd crystal (PBE-GGA).

The structure in POSCAR format:
```
Cd8Ag3Pd
1.0
-1.2089 5.3114 8.3694
-3.9048 -5.4581 -3.8725
-1.1147 -6.3982 2.2695
Cd Ag Pd
8 3 1
direct
0.2174 0.0000 0.5439
0.4833 0.6036 0.5093
0.8797 0.3964 0.1129
0.5449 0.0000 0.9176
0.7697 0.0000 0.7153
0.7419 0.6288 0.2853
0.1131 0.3712 0.9141
0.2895 0.0000 0.1333
0.7691 0.6272 0.7035
0.1419 0.3728 0.3307
0.4951 0.0000 0.4782
0.0545 0.0000 0.8559
```

=====

Entry from Alexandria: a relaxed Cd6Ag5Pd crystal (PBE-GGA).

The structure in POSCAR format:
```
Cd6Ag5Pd
1.0
-6.1486 4.1265 3.9872
-4.2652 -1.7454 0.6171
-0.0966 -3.7025 6.3769
Cd Ag Pd
6 5 1
direct
0.7532 0.0849 0.3240
0.2468 0.5911 0.3240
0.2415 0.2583 0.0000
0.7585 0.7417 0.0000
0.7532 0.4089 0.6760
0.2468 0.9151 0.6760
0.5000 0.1699 0.6602
0.0000 0.3297 0.3406
0.5000 0.5000 0.0000
0.0000 0.6703 0.6594
0.5000 0.8301 0.3398
0.0000 0.0000 0.0000
```

=====

Number 1: ΔH_f (0 K) -0.02 eV per atom. Number 2: ΔH_f (0 K) -0.14 eV per atom. Number 3: ΔH_f (0 K) 0.07 eV per atom. Number 4: ΔH_f (0 K) -0.26 eV per atom. Number 5: ΔH_f (0 K) 0.14 eV per atom. Number 6: ΔH_f (0 K) -0.17 eV per atom. Number 7: ΔH_f (0 K) -0.14 eV per atom. Number 8: ΔH_f (0 K) -0.01 eV per atom. Number 9: ΔH_f (0 K) -0.02 eV per atom. Number 10: ΔH_f (0 K) -0.11 eV per atom.